A relaxed Cs2MgIrO crystal. Source: Alexandria via LeMat-Bulk, functional PBE.

The structure belongs to space group P4/mmm (No. 123); the cell edges are 6.3118, 6.3118 and 3.7236 Å and the angles 90.00°, 90.00° and 90.00°. The distinct sites, in fractional coordinates, are Cs at (0.0000, 0.5000, 0.0000), Mg at (0.0000, 0.0000, 0.5000), Ir at (0.5000, 0.5000, 0.5000) and O at (0.0000, 0.0000, 0.0000).

The value obtained for the formation energy (no corrections) is -0.021 eV per atom.

***

A relaxed CsMg2IrPb crystal. Source: Alexandria via LeMat-Bulk, functional PBE.

The structure belongs to space group P4/mmm (No. 123); the cell edges are 5.3263, 5.3263 and 5.2615 Å and the angles 90.00°, 90.00° and 90.00°. The distinct sites, in fractional coordinates, are Cs at (0.0000, 0.0000, 0.0000), Mg at (0.0000, 0.5000, 0.5000), Ir at (0.5000, 0.5000, 0.5000) and Pb at (0.5000, 0.5000, 0.0000).

For the energy of formation from the pure elements, the calculation gives -0.07 eV/atom.

***

A relaxed CsMg2IrRh crystal. Source: Alexandria via LeMat-Bulk, functional PBE.

The structure belongs to space group P4/mmm (No. 123); the cell edges are 5.5322, 5.5322 and 4.9228 Å and the angles 90.00°, 90.00° and 90.00°. The distinct sites, in fractional coordinates, are Cs at (0.0000, 0.0000, 0.0000), Mg at (0.0000, 0.5000, 0.0000), Ir at (0.0000, 0.0000, 0.5000) and Rh at (0.5000, 0.5000, 0.5000).

For the energy of formation from the pure elements, the calculation gives 2.27 eV/atom.

***

A relaxed CsMgIrRh2 crystal. Source: Alexandria via LeMat-Bulk, functional PBE.

The structure belongs to space group P4/mmm (No. 123); the cell edges are 4.8830, 4.8830 and 4.8527 Å and the angles 90.00°, 90.00° and 90.00°. The distinct sites, in fractional coordinates, are Cs at (0.0000, 0.0000, 0.0000), Mg at (0.5000, 0.5000, 0.5000), Ir at (0.5000, 0.5000, 0.0000) and Rh at (0.0000, 0.5000, 0.5000).

For the energy of formation from the pure elements, the calculation gives 1.28 eV/atom.

***

A relaxed CsMg2SnIr crystal. Source: Alexandria via LeMat-Bulk, functional PBE.

The structure belongs to space group P4/mmm (No. 123); the cell edges are 5.3112, 5.3112 and 5.1184 Å and the angles 90.00°, 90.00° and 90.00°. The distinct sites, in fractional coordinates, are Cs at (0.0000, 0.0000, 0.0000), Mg at (0.0000, 0.5000, 0.5000), Sn at (0.5000, 0.5000, 0.0000) and Ir at (0.5000, 0.5000, 0.5000).

For the energy of formation from the pure elements, the calculation gives -0.18 eV/atom.

***

A relaxed CsSr2MgIr crystal. Source: Alexandria via LeMat-Bulk, functional PBE.

The structure belongs to space group P4/mmm (No. 123); the cell edges are 5.9633, 5.9633 and 5.4838 Å and the angles 90.00°, 90.00° and 90.00°. The distinct sites, in fractional coordinates, are Cs at (0.0000, 0.0000, 0.0000), Sr at (0.0000, 0.5000, 0.5000), Mg at (0.5000, 0.5000, 0.0000) and Ir at (0.5000, 0.5000, 0.5000).

For the energy of formation from the pure elements, the calculation gives 0.01 eV/atom.

***

A relaxed CsMgTiIr2 crystal. Source: Alexandria via LeMat-Bulk, functional PBE.

The structure belongs to space group P4/mmm (No. 123); the cell edges are 5.0520, 5.0520 and 5.1501 Å and the angles 90.00°, 90.00° and 90.00°. The distinct sites, in fractional coordinates, are Cs at (0.0000, 0.0000, 0.0000), Mg at (0.0000, 0.0000, 0.5000), Ti at (0.5000, 0.5000, 0.5000) and Ir at (0.0000, 0.5000, 0.0000).

For the energy of formation from the pure elements, the calculation gives 2.43 eV/atom.

***

A relaxed CsMgTl2Ir crystal. Source: Alexandria via LeMat-Bulk, functional PBE.

The structure belongs to space group P4/mmm (No. 123); the cell edges are 5.3841, 5.3841 and 5.3031 Å and the angles 90.00°, 90.00° and 90.00°. The distinct sites, in fractional coordinates, are Cs at (0.0000, 0.0000, 0.0000), Mg at (0.5000, 0.5000, 0.0000), Tl at (0.0000, 0.5000, 0.5000) and Ir at (0.5000, 0.5000, 0.5000).

For the energy of formation from the pure elements, the calculation gives -0.05 eV/atom.

***

A relaxed CsMg2ZnIr crystal. Source: Alexandria via LeMat-Bulk, functional PBE.

The structure belongs to space group P4/mmm (No. 123); the cell edges are 5.1897, 5.1897 and 5.1025 Å and the angles 90.00°, 90.00° and 90.00°. The distinct sites, in fractional coordinates, are Cs at (0.0000, 0.0000, 0.0000), Mg at (0.0000, 0.5000, 0.5000), Zn at (0.5000, 0.5000, 0.0000) and Ir at (0.5000, 0.5000, 0.5000).

For the energy of formation from the pure elements, the calculation gives -0.02 eV/atom.

***

A relaxed CsMgZn2Ir crystal. Source: Alexandria via LeMat-Bulk, functional PBE.

The structure belongs to space group P4/mmm (No. 123); the cell edges are 5.0608, 5.0608 and 5.1282 Å and the angles 90.00°, 90.00° and 90.00°. The distinct sites, in fractional coordinates, are Cs at (0.0000, 0.0000, 0.0000), Mg at (0.5000, 0.5000, 0.0000), Zn at (0.0000, 0.5000, 0.5000) and Ir at (0.5000, 0.5000, 0.5000).

For the energy of formation from the pure elements, the calculation gives -0.03 eV/atom.

***

A relaxed CsMgZrIr2 crystal. Source: Alexandria via LeMat-Bulk, functional PBE.

The structure belongs to space group P4/mmm (No. 123); the cell edges are 5.0397, 5.0397 and 5.1246 Å and the angles 90.00°, 90.00° and 90.00°. The distinct sites, in fractional coordinates, are Cs at (0.0000, 0.0000, 0.0000), Mg at (0.5000, 0.5000, 0.5000), Zr at (0.0000, 0.0000, 0.5000) and Ir at (0.0000, 0.5000, 0.0000).

For the energy of formation from the pure elements, the calculation gives 2.26 eV/atom.

***

A relaxed CsMnIr3 crystal. Source: Alexandria via LeMat-Bulk, functional PBE.

The structure belongs to space group Pm-3m (No. 221); the cell edges are 4.6831, 4.6831 and 4.6831 Å and the angles 90.00°, 90.00° and 90.00°. The distinct sites, in fractional coordinates, are Cs at (0.0000, 0.0000, 0.0000), Mn at (0.5000, 0.5000, 0.5000) and Ir at (0.0000, 0.5000, 0.5000).

For the energy of formation from the pure elements, the calculation gives 1.40 eV/atom.

***

Size of the total moment, record by record: 0.713, 0.000, 0.002, 2.087, 0.000, 0.000, 2.001, 0.000, 0.000, 0.000, 0.000, 0.000 μB per formula unit